[1]
Material: TcNi2Cl
Method: DFT, SCAN
State: PBEsol geometry

Results
Total DFT energy (no corrections), eV per atom: -18.608
Distance to the lowest polymorph of the same formula, eV per formula unit: 0.00
Formation energy from raw total energies, eV per formula unit: 0.95

Unit cell a=2.8652 b=2.8710 c=6.5331 alpha=90.00 beta=90.20 gamma=90.00
With the nearest neighbours (Å) after each atom.
Fractional positions:
Tc 0.0000 0.0000 0.0000  2 Cl 2.42, 5 Ni 2.44-2.65
Ni 0.0034 0.0000 0.4059  4 Ni 2.41, 2 Cl 2.41, 1 Tc 2.65
Ni 0.5018 0.5000 0.2070  4 Ni 2.41, 4 Tc 2.44
Cl 0.9964 0.5000 0.7022  2 Ni 2.41, 2 Tc 2.42



[2]
Material: ZnFe2
Method: DFT, SCAN
State: PBEsol geometry

Results
Formation energy from the elements, eV/atom: -0.04
Total DFT energy (no corrections), eV per atom: -16.627

Unit cell a=10.3085 b=10.3085 c=10.3085 alpha=159.12 beta=159.12 gamma=29.69
With the nearest neighbours (Å) after each atom.
Fractional positions:
Zn 0.2920 0.5420 0.7500  10 Fe 2.49-2.64, 2 Zn 2.51
Zn 0.4580 0.7080 0.7500  10 Fe 2.49-2.64, 2 Zn 2.51
Zn 0.5420 0.2920 0.2500  10 Fe 2.49-2.64, 2 Zn 2.51
Zn 0.7080 0.4580 0.2500  10 Fe 2.49-2.64, 2 Zn 2.51
Fe 0.0449 0.7949 0.2500  6 Fe 2.45-2.59, 6 Zn 2.55-2.64
Fe 0.1244 0.3744 0.7500  8 Fe 2.45-2.64, 4 Zn 2.49-2.50
Fe 0.2051 0.9551 0.2500  6 Fe 2.45-2.59, 6 Zn 2.55-2.64
Fe 0.3744 0.1244 0.2500  8 Fe 2.45-2.64, 4 Zn 2.49-2.50
Fe 0.6256 0.8756 0.7500  8 Fe 2.45-2.64, 4 Zn 2.49-2.50
Fe 0.7949 0.0449 0.7500  6 Fe 2.45-2.59, 6 Zn 2.55-2.64
Fe 0.8756 0.6256 0.2500  8 Fe 2.45-2.64, 4 Zn 2.49-2.50
Fe 0.9551 0.2051 0.7500  6 Fe 2.45-2.59, 6 Zn 2.55-2.64